# CrReRh4

Crystalline CrReRh4 at its relaxed geometry (PBE, Alexandria via LeMat-Bulk).

Summary:
- calculated volume (Å³ per cell) = 83
- E_form (meV/atom) = -137
- distance to the lowest polymorph of the same formula (kJ/mol of formula units) = 0.0
- total energy (eV/atom) = -8.7167

abc: 2.717 4.330 7.182
angles: 90.00 101.01 90.00
Fractional coordinates of all 6 atoms:
Rh (0.952, 0.003, 0.148)
Rh (0.059, 0.503, 0.365)
Rh (0.276, 0.003, 0.798)
Rh (0.725, 0.503, 0.696)
Re (0.390, 0.503, 0.028)
Cr (0.617, 0.003, 0.478)